Record 1
DFT (PBE) results for crystalline Ta3TiRh at its relaxed geometry.

Cell: 4.7914 4.7914 4.7914 Å, 90.00 90.00 90.00°
Last column: nearest neighbours and their distance in Å.
Space group Pm-3m (No. 221)
Unique sites:
Ta 0.0000 0.0000 0.5000 x3  2 Rh 2.40
Ti 0.5000 0.5000 0.5000 x1  12 Ta 3.39
Rh 0.0000 0.0000 0.0000 x1  6 Ta 2.40

Summary:
DOS at the Fermi energy, states/eV/f.u.: 10.36
Energy, eV/cell: -45.24
Offset from the most stable computed form, eV per atom: 1.1405
Calculated formation energy, eV per atom: 1.112

Record 2
DFT (PBE) results for crystalline Ta5Ti12Rh3 at its relaxed geometry.

Cell: 14.9695 14.9695 14.9695 Å, 90.00 90.00 90.00°
Last column: nearest neighbours and their distance in Å.
Space group Ia-3d (No. 230)
Unique sites:
Ta 0.0000 0.0000 0.0000 x16  6 Ti 2.55
Ta 0.0000 0.2500 0.3750 x24  4 Ti 2.60
Ti 0.0139 0.0848 0.6468 x96  1 Rh 2.50, 2 Ta 2.55-2.60, 1 Ti 2.76
Rh 0.0000 0.2500 0.1250 x24  4 Ti 2.50

Summary:
DOS at the Fermi energy, states/eV/f.u.: 27.23
Energy, eV/cell: -1238.96
Calculated formation energy, eV per atom: 1.059

Record 3
DFT (PBE) results for crystalline TaTi4Rh3 at its relaxed geometry.

Cell: 3.1482 3.1482 12.5845 Å, 90.00 90.00 90.00°
Last column: nearest neighbours and their distance in Å.
Space group P4/mmm (No. 123)
Unique sites:
Ta 0.0000 0.0000 0.0000 x1  8 Ti 2.80
Ti 0.5000 0.5000 0.1349 x2  4 Rh 2.74, 4 Ta 2.80
Ti 0.5000 0.5000 0.3789 x2  8 Rh 2.67-2.70
Rh 0.0000 0.0000 0.2617 x2  8 Ti 2.67-2.74
Rh 0.0000 0.0000 0.5000 x1  8 Ti 2.70, 2 Rh 3.00

Summary:
DOS at the Fermi energy, states/eV/f.u.: 7.62
Energy, eV/cell: -70.22
Calculated formation energy, eV per atom: -0.592

Record 4
DFT (PBE) results for crystalline TaTi2Rh at its relaxed geometry.

Cell: 3.1139 3.1139 6.6757 Å, 90.00 90.00 90.00°
Last column: nearest neighbours and their distance in Å.
Space group P4/mmm (No. 123)
Unique sites:
Ta 0.0000 0.0000 0.0000 x1  8 Ti 2.82, 4 Ta 3.11
Ti 0.5000 0.5000 0.2644 x2  4 Rh 2.71, 4 Ta 2.82
Rh 0.0000 0.0000 0.5000 x1  8 Ti 2.71

Summary:
DOS at the Fermi energy, states/eV/f.u.: 4.07
Energy, eV/cell: -36.73
Offset from the most stable computed form, eV per atom: 0.0000
Calculated formation energy, eV per atom: -0.435

Record 5
DFT (PBE) results for crystalline Ta2TiRh9 at its relaxed geometry.

Cell: 3.8853 3.8853 11.6447 Å, 90.00 90.00 90.00°
Last column: nearest neighbours and their distance in Å.
Space group P4/mmm (No. 123)
Unique sites:
Ta 0.0000 0.0000 0.1693 x2  12 Rh 2.74-2.77
Ti 0.0000 0.0000 0.5000 x1  12 Rh 2.73-2.75
Rh 0.0000 0.5000 0.0000 x2  8 Rh 2.75, 4 Ta 2.77
Rh 0.0000 0.5000 0.3348 x4  8 Rh 2.73-2.75, 2 Ti 2.73, 2 Ta 2.74
Rh 0.5000 0.5000 0.1672 x2  4 Ta 2.75, 8 Rh 2.75
Rh 0.5000 0.5000 0.5000 x1  8 Rh 2.73, 4 Ti 2.75

Summary:
DOS at the Fermi energy, states/eV/f.u.: 7.83
Energy, eV/cell: -105.14
Calculated formation energy, eV per atom: -0.615

Record 6
DFT (PBE) results for crystalline TaTi2Rh3 at its relaxed geometry.

Cell: 4.6215 13.8390 2.8955 Å, 90.00 90.00 90.00°
Last column: nearest neighbours and their distance in Å.
Space group Cmmm (No. 65)
Unique sites:
Ta 0.0000 0.0000 0.0000 x2  8 Rh 2.73-2.83, 2 Ta 2.90
Ti 0.0000 0.3365 0.0000 x4  8 Rh 2.66-2.73, 2 Ti 2.90
Rh 0.0000 0.1754 0.5000 x4  6 Ti 2.66-2.73, 2 Ta 2.83, 2 Rh 2.90
Rh 0.0000 0.5000 0.5000 x2  4 Ti 2.69, 4 Ta 2.73, 2 Rh 2.90

Summary:
DOS at the Fermi energy, states/eV/f.u.: 6.57
Energy, eV/cell: -106.66
Offset from the most stable computed form, eV per atom: 0.0449
Calculated formation energy, eV per atom: -0.606

Record 7
DFT (PBE) results for crystalline TaTi2Rh at its relaxed geometry.

Cell: 6.3419 6.3419 6.3419 Å, 90.00 90.00 90.00°
Last column: nearest neighbours and their distance in Å.
Space group Fm-3m (No. 225)
Unique sites:
Ta 0.0000 0.0000 0.0000 x4  8 Ti 2.75
Ti 0.2500 0.2500 0.2500 x8  4 Ta 2.75, 4 Rh 2.75
Rh 0.0000 0.0000 0.5000 x4  8 Ti 2.75

Summary:
DOS at the Fermi energy, states/eV/f.u.: 5.97
Energy, eV/cell: -144.70
Offset from the most stable computed form, eV per atom: 0.1391
Calculated formation energy, eV per atom: -0.295

Record 8
DFT (PBE) results for crystalline Ta2Ti8Rh at its relaxed geometry.

Cell: 15.2797 4.5500 5.3563 Å, 90.00 91.06 90.00°
Last column: nearest neighbours and their distance in Å.
Space group C2/m (No. 12)
Unique sites:
Ta 0.2320 0.0000 0.3511 x4  8 Ti 2.79-3.06, 2 Ta 2.83
Ti 0.0444 0.0000 0.2761 x4  7 Ti 2.78-3.10, 2 Rh 2.79, 1 Ta 2.89
Ti 0.0834 0.5000 0.5839 x4  1 Rh 2.59, 5 Ti 2.69-2.87, 1 Ta 2.84
Ti 0.1469 0.0000 0.8067 x4  7 Ti 2.74-2.99, 3 Ta 2.79-3.06
Ti 0.1689 0.5000 0.0980 x4  1 Rh 2.62, 4 Ti 2.78-2.93, 3 Ta 2.81-2.87
Rh 0.0000 0.5000 0.0000 x2  8 Ti 2.59-2.79

Summary:
DOS at the Fermi energy, states/eV/f.u.: 14.19
Energy, eV/cell: -191.50
Calculated formation energy, eV per atom: -0.139

Record 9
DFT (PBE) results for crystalline TaTiRh3 at its relaxed geometry.

Cell: 4.4699 4.4699 4.4699 Å, 90.00 90.00 90.00°
Last column: nearest neighbours and their distance in Å.
Space group Pm-3m (No. 221)
Unique sites:
Ta 0.0000 0.0000 0.0000 x1  12 Rh 3.16
Ti 0.5000 0.5000 0.5000 x1  6 Rh 2.23
Rh 0.0000 0.5000 0.5000 x3  2 Ti 2.23

Summary:
DOS at the Fermi energy, states/eV/f.u.: 8.70
Energy, eV/cell: -38.73
Offset from the most stable computed form, eV per atom: 1.0077
Calculated formation energy, eV per atom: 0.614

Record 10
DFT (PBE) results for crystalline TaTi2Rh2 at its relaxed geometry.

Cell: 7.4034 7.4034 2.9306 Å, 90.00 90.00 90.00°
Last column: nearest neighbours and their distance in Å.
Space group P4/mbm (No. 127)
Unique sites:
Ta 0.0000 0.0000 0.0000 x2  4 Rh 2.88, 2 Ta 2.93, 8 Ti 3.13
Ti 0.1631 0.3369 0.5000 x4  6 Rh 2.58-2.65
Rh 0.1346 0.6346 0.0000 x4  6 Ti 2.58-2.65, 1 Rh 2.82, 2 Ta 2.88

Summary:
DOS at the Fermi energy, states/eV/f.u.: 5.51
Energy, eV/cell: -89.16
Offset from the most stable computed form, eV per atom: 0.0000
Calculated formation energy, eV per atom: -0.447

Record 11
DFT (PBE) results for crystalline Ta3TiRh at its relaxed geometry.

Cell: 13.6553 2.8666 9.2177 Å, 90.00 103.50 90.00°
Last column: nearest neighbours and their distance in Å.
Space group C2/m (No. 12)
Unique sites:
Ta 0.0722 0.0000 0.1336 x4  7 Ta 2.77-2.97, 1 Ti 2.78
Ta 0.1617 0.5000 0.9198 x4  8 Ta 2.87-3.00, 2 Ti 2.92
Ta 0.2480 0.0000 0.6921 x4  1 Rh 2.53, 1 Ti 2.69
Ti 0.0470 0.0000 0.6593 x4  4 Rh 2.59-2.75, 2 Ta 2.69-2.78, 2 Ti 2.87
Rh 0.1114 0.5000 0.4452 x4  1 Ta 2.53, 4 Ti 2.59-2.75

Summary:
DOS at the Fermi energy, states/eV/f.u.: 4.99
Energy, eV/cell: -203.79
Offset from the most stable computed form, eV per atom: 0.0000
Calculated formation energy, eV per atom: -0.029

Record 12
DFT (PBE) results for crystalline Ta4Ti9Rh11 at its relaxed geometry.

Cell: 11.7039 22.0859 2.8994 Å, 90.00 90.00 90.00°
Last column: nearest neighbours and their distance in Å.
Space group Cmmm (No. 65)
Unique sites:
Ta 0.1277 0.0960 0.0000 x8  2 Ti 2.60-2.83, 6 Rh 2.72-2.85, 2 Ta 2.90
Ti 0.0000 0.0000 0.0000 x2  4 Ta 2.60, 2 Ti 2.90
Ti 0.1192 0.2594 0.0000 x8  8 Rh 2.53-2.76, 1 Ti 2.79
Ti 0.1329 0.4204 0.0000 x8  8 Rh 2.70-3.01, 1 Ta 2.83, 2 Ti 2.90
Rh 0.0000 0.1803 0.5000 x4  4 Ti 2.66, 4 Ta 2.79, 4 Rh 2.87-2.90
Rh 0.0000 0.3453 0.5000 x4  8 Ti 2.70-2.76, 2 Rh 2.90
Rh 0.0000 0.5000 0.5000 x2  8 Ti 2.76, 2 Rh 2.90
Rh 0.2322 0.0000 0.5000 x4  6 Ti 2.77-3.08, 4 Ta 2.85, 2 Rh 2.90
Rh 0.2452 0.1799 0.5000 x8  4 Ti 2.53-2.71, 2 Ta 2.72

Summary:
DOS at the Fermi energy, states/eV/f.u.: 25.68
Energy, eV/cell: -423.30
Calculated formation energy, eV per atom: -0.513

Record 13
DFT (PBE) results for crystalline TaTiRh2 at its relaxed geometry.

Cell: 4.1059 4.1059 16.6616 Å, 90.00 90.00 90.00°
Last column: nearest neighbours and their distance in Å.
Space group I-42d (No. 122)
Unique sites:
Ta 0.0000 0.0000 0.0000 x4  4 Rh 2.55
Ti 0.0000 0.0000 0.5000 x4  4 Rh 2.52
Rh 0.2404 0.2500 0.6250 x8  2 Ti 2.52, 2 Ta 2.55

Summary:
DOS at the Fermi energy, states/eV/f.u.: 4.10
Energy, eV/cell: -136.88
Calculated formation energy, eV per atom: 0.057

Record 14
DFT (PBE) results for crystalline Ta6TiRh at its relaxed geometry.

Cell: 3.2796 9.2556 9.2028 Å, 90.00 90.00 90.00°
Last column: nearest neighbours and their distance in Å.
Space group Amm2 (No. 38)
Unique sites:
Ta 0.0000 0.0000 0.0000 x2  2 Rh 2.81, 6 Ta 2.84-2.87
Ta 0.0000 0.2471 0.7517 x4  2 Rh 2.81, 6 Ta 2.82-2.86
Ta 0.5000 0.0000 0.2555 x2  2 Ti 2.86, 6 Ta 2.86-2.87
Ta 0.5000 0.2499 0.0030 x4  6 Ta 2.82-2.84, 2 Ti 2.84
Ti 0.0000 0.0000 0.5096 x2  2 Rh 2.77, 6 Ta 2.84-2.86
Rh 0.5000 0.0000 0.7517 x2  2 Ti 2.77, 6 Ta 2.81

Summary:
DOS at the Fermi energy, states/eV/f.u.: 8.72
Energy, eV/cell: -175.61
Calculated formation energy, eV per atom: -0.180

Record 15
DFT (PBE) results for crystalline TaTi5Rh6 at its relaxed geometry.

Cell: 4.1757 12.5638 6.9499 Å, 90.00 90.00 90.00°
Last column: nearest neighbours and their distance in Å.
Space group Cmmm (No. 65)
Unique sites:
Ta 0.0000 0.0000 0.0000 x2  8 Rh 2.78-2.82, 4 Ti 2.93
Ti 0.0000 0.0000 0.5000 x2  8 Rh 2.62-2.66
Ti 0.0000 0.3324 0.5000 x4  8 Rh 2.64-2.66, 2 Ti 2.94
Ti 0.0000 0.3359 0.0000 x4  8 Rh 2.78-2.81, 2 Ta 2.93, 2 Ti 3.00
Rh 0.0000 0.1666 0.2633 x8  7 Ti 2.65-2.81, 1 Ta 2.78, 4 Rh 2.96
Rh 0.0000 0.5000 0.2718 x4  6 Ti 2.62-2.80, 2 Ta 2.82

Summary:
DOS at the Fermi energy, states/eV/f.u.: 16.67
Energy, eV/cell: -207.26
Calculated formation energy, eV per atom: -0.683

Record 16
DFT (PBE) results for crystalline TaTi2Rh5 at its relaxed geometry.

Cell: 5.4535 10.6731 4.1537 Å, 90.00 90.00 90.00°
Last column: nearest neighbours and their distance in Å.
Space group Pbam (No. 55)
Unique sites:
Ta 0.0000 0.0000 0.0000 x2  8 Rh 2.59-2.73
Ti 0.1651 0.3540 0.5000 x4  10 Rh 2.60-2.91
Rh 0.0000 0.5000 0.0000 x2  2 Ta 2.73, 4 Ti 2.75, 6 Rh 2.84-2.90
Rh 0.0932 0.7621 0.0000 x4  1 Ta 2.59, 4 Ti 2.65-2.80, 5 Rh 2.74-2.89
Rh 0.1938 0.1081 0.5000 x4  2 Ta 2.60, 4 Ti 2.60-2.91, 4 Rh 2.89-2.90

Summary:
DOS at the Fermi energy, states/eV/f.u.: 2.59
Energy, eV/cell: -139.95
Calculated formation energy, eV per atom: -0.697

Record 17
DFT (PBE) results for crystalline TaTiRh3 at its relaxed geometry.

Cell: 7.0496 7.0109 6.5113 Å, 90.00 90.00 90.00°
Last column: nearest neighbours and their distance in Å.
Space group Pnma (No. 62)
Unique sites:
Ta 0.0000 0.0000 0.0000 x4  6 Rh 2.59-2.65
Ti 0.1540 0.2500 0.4116 x4  8 Rh 2.57-2.85
Rh 0.1190 0.7500 0.2656 x4  2 Ta 2.60, 4 Rh 2.80-2.82, 2 Ti 2.81-2.85
Rh 0.1516 0.5551 0.6422 x8  3 Ti 2.57-2.61, 2 Ta 2.59-2.65, 3 Rh 2.73-2.82

Summary:
DOS at the Fermi energy, states/eV/f.u.: 3.83
Energy, eV/cell: -175.08
Offset from the most stable computed form, eV per atom: 0.0000
Calculated formation energy, eV per atom: -0.394

Record 18
DFT (PBE) results for crystalline Ta2Ti3Rh at its relaxed geometry.

Cell: 4.4863 13.4182 6.5910 Å, 90.00 90.00 90.00°
Last column: nearest neighbours and their distance in Å.
Space group Cmmm (No. 65)
Unique sites:
Ta 0.0000 0.0000 0.0000 x2  8 Ti 2.84-2.87, 4 Ta 3.17
Ta 0.0000 0.0000 0.5000 x2  8 Ti 2.73-2.76
Ta 0.0000 0.3327 0.0000 x4  8 Ti 2.79-2.84
Ti 0.0000 0.1700 0.2639 x8  3 Rh 2.68-2.73, 5 Ta 2.76-2.87
Ti 0.0000 0.5000 0.2631 x4  6 Ta 2.73-2.84, 2 Rh 2.74
Rh 0.0000 0.3323 0.5000 x4  8 Ti 2.68-2.74

Summary:
DOS at the Fermi energy, states/eV/f.u.: 8.08
Energy, eV/cell: -224.69
Calculated formation energy, eV per atom: -0.239

Record 19
DFT (PBE) results for crystalline Ta2Ti4Rh at its relaxed geometry.

Cell: 4.6336 4.6336 13.2007 Å, 90.00 90.00 90.00°
Last column: nearest neighbours and their distance in Å.
Space group I4/mmm (No. 139)
Unique sites:
Ta 0.0000 0.0000 0.1154 x4  5 Ti 2.55-2.77
Ti 0.0000 0.0000 0.3087 x4  1 Rh 2.53, 1 Ta 2.55
Ti 0.0000 0.5000 0.0000 x4  2 Rh 2.32
Rh 0.0000 0.0000 0.5000 x2  6 Ti 2.32-2.53

Summary:
DOS at the Fermi energy, states/eV/f.u.: 11.23
Energy, eV/cell: -114.59
Calculated formation energy, eV per atom: 0.763